# Y8Os2Pd (PBE, relaxed)
# Energy in eV per cell: -82.0
# Calculated density in g/cm³: 6.6
# Symmetry: No. 8
# V in Å³ per cell: 299.73
# Formation enthalpy at 0 K in eV per atom: -0.24
data_Y8Os2Pd
_space_group_name_H-M_alt 'P 1'
_space_group_IT_number 1
_space_group_name_Hall 'P 1'
_cell_length_a 7.6077
_cell_length_b 7.6077
_cell_length_c 5.7961
_cell_angle_alpha 99.43
_cell_angle_beta 99.43
_cell_angle_gamma 111.02
loop_
_atom_site_label
_atom_site_type_symbol
_atom_site_fract_x
_atom_site_fract_y
_atom_site_fract_z
_atom_site_occupancy
Y1 Y 0.0000 0.0000 0.0000 1
Y2 Y 0.0373 0.3014 0.5964 1
Y3 Y 0.1461 0.5950 0.1959 1
Y4 Y 0.3014 0.0373 0.5964 1
Y5 Y 0.4437 0.7082 0.7910 1
Y6 Y 0.5950 0.1461 0.1959 1
Y7 Y 0.7082 0.4437 0.7910 1
Y8 Y 0.7408 0.7408 0.3916 1
Os1 Os 0.0614 0.6853 0.6967 1
Os2 Os 0.6853 0.0614 0.6967 1
Pd1 Pd 0.3690 0.3690 0.3136 1